# 1
# LiMo2Pb (PBE, relaxed)
# Space-group type: Pmmm
# ΔE_f, eV per atom: 0.437
data_LiMo2Pb
_symmetry_space_group_name_H-M 'P 1'
_symmetry_Int_Tables_number 1
_cell_length_a 3.4410
_cell_length_b 4.2077
_cell_length_c 4.6909
_cell_angle_alpha 90.00
_cell_angle_beta 90.00
_cell_angle_gamma 90.00
loop_
_symmetry_equiv_pos_as_xyz
'x,y,z'
loop_
_atom_site_label
_atom_site_fract_x
_atom_site_fract_y
_atom_site_fract_z
_atom_site_occupancy
Li1 0.0000 0.0000 0.0000 1
Mo1 0.0000 0.5000 0.5000 1
Mo2 0.5000 0.0000 0.5000 1
Pb1 0.5000 0.5000 0.0000 1


# 2
# MgCoSbTe2 (PBE, relaxed)
# Space-group type: P4/mmm
# ΔE_f (raw), meV per atom: 207
# Relative energy among the computed polymorphs, meV/atom: 0.0
data_MgCoSbTe2
_symmetry_space_group_name_H-M 'P 1'
_symmetry_Int_Tables_number 1
_cell_length_a 5.3337
_cell_length_b 5.3337
_cell_length_c 4.6513
_cell_angle_alpha 90.00
_cell_angle_beta 90.00
_cell_angle_gamma 90.00
loop_
_symmetry_equiv_pos_as_xyz
'x,y,z'
loop_
_atom_site_label
_atom_site_fract_x
_atom_site_fract_y
_atom_site_fract_z
_atom_site_occupancy
Mg1 0.0000 0.0000 0.0000 1
Co1 0.5000 0.5000 0.5000 1
Sb1 0.5000 0.5000 0.0000 1
Te1 0.0000 0.5000 0.5000 1
Te2 0.5000 0.0000 0.5000 1


# 3
# LaCdTc2 (PBE, relaxed)
# Space-group type: F-43m
# ΔE_f, eV per atom: 0.517
data_LaCdTc2
_symmetry_space_group_name_H-M 'P 1'
_symmetry_Int_Tables_number 1
_cell_length_a 4.8420
_cell_length_b 4.8420
_cell_length_c 4.8420
_cell_angle_alpha 60.00
_cell_angle_beta 60.00
_cell_angle_gamma 60.00
loop_
_symmetry_equiv_pos_as_xyz
'x,y,z'
loop_
_atom_site_label
_atom_site_fract_x
_atom_site_fract_y
_atom_site_fract_z
_atom_site_occupancy
La1 0.0000 0.0000 0.0000 1
Cd1 0.2500 0.2500 0.2500 1
Tc1 0.5000 0.5000 0.5000 1
Tc2 0.7500 0.7500 0.7500 1


# 4
# HoPd4Au3 (PBE, relaxed)
# Space-group type: Imm2
# Relative energy among the computed polymorphs, meV/atom: 171.7
# ΔE_f, eV per atom: -0.308
data_HoPd4Au3
_symmetry_space_group_name_H-M 'P 1'
_symmetry_Int_Tables_number 1
_cell_length_a 6.1704
_cell_length_b 6.1704
_cell_length_c 6.1704
_cell_angle_alpha 125.88
_cell_angle_beta 78.81
_cell_angle_gamma 127.44
loop_
_symmetry_equiv_pos_as_xyz
'x,y,z'
loop_
_atom_site_label
_atom_site_fract_x
_atom_site_fract_y
_atom_site_fract_z
_atom_site_occupancy
Ho1 0.0000 0.0000 0.0000 1
Pd1 0.0716 0.8087 0.2629 1
Pd2 0.5295 0.2767 0.7472 1
Pd3 0.5295 0.7824 0.2528 1
Pd4 0.5458 0.8087 0.7371 1
Au1 0.0307 0.5307 0.5000 1
Au2 0.0660 0.3089 0.7570 1
Au3 0.5519 0.3089 0.2430 1


# 5
# TlGaNi2Ge (PBE, relaxed)
# Space-group type: P4/mmm
# ΔE_f, eV per atom: 0.419
data_TlGaNi2Ge
_symmetry_space_group_name_H-M 'P 1'
_symmetry_Int_Tables_number 1
_cell_length_a 4.5142
_cell_length_b 4.5142
_cell_length_c 4.9615
_cell_angle_alpha 90.00
_cell_angle_beta 90.00
_cell_angle_gamma 90.00
loop_
_symmetry_equiv_pos_as_xyz
'x,y,z'
loop_
_atom_site_label
_atom_site_fract_x
_atom_site_fract_y
_atom_site_fract_z
_atom_site_occupancy
Tl1 0.0000 0.0000 0.0000 1
Ga1 0.5000 0.5000 0.0000 1
Ni1 0.0000 0.5000 0.5000 1
Ni2 0.5000 0.0000 0.5000 1
Ge1 0.5000 0.5000 0.5000 1


# 6
# HfPa2As (PBE, relaxed)
# Space-group type: P4/mmm
# Relative energy among the computed polymorphs, meV/atom: 0.0
# ΔE_f, eV per atom: -0.315
data_HfPa2As
_symmetry_space_group_name_H-M 'P 1'
_symmetry_Int_Tables_number 1
_cell_length_a 4.2862
_cell_length_b 4.2862
_cell_length_c 4.6878
_cell_angle_alpha 90.00
_cell_angle_beta 90.00
_cell_angle_gamma 90.00
loop_
_symmetry_equiv_pos_as_xyz
'x,y,z'
loop_
_atom_site_label
_atom_site_fract_x
_atom_site_fract_y
_atom_site_fract_z
_atom_site_occupancy
Hf1 0.0000 0.0000 0.0000 1
Pa1 0.0000 0.5000 0.5000 1
Pa2 0.5000 0.0000 0.5000 1
As1 0.5000 0.5000 0.0000 1


# 7
# LiH4PtRh2 (PBE, relaxed)
# Space-group type: Cmcm
data_LiH4PtRh2
_symmetry_space_group_name_H-M 'P 1'
_symmetry_Int_Tables_number 1
_cell_length_a 6.3879
_cell_length_b 6.3879
_cell_length_c 8.3351
_cell_angle_alpha 90.00
_cell_angle_beta 90.00
_cell_angle_gamma 154.78
loop_
_symmetry_equiv_pos_as_xyz
'x,y,z'
loop_
_atom_site_label
_atom_site_fract_x
_atom_site_fract_y
_atom_site_fract_z
_atom_site_occupancy
Li1 0.0677 0.9323 0.7500 1
Li2 0.9323 0.0677 0.2500 1
H1 0.0000 0.0000 0.0000 1
H2 0.0000 0.0000 0.5000 1
H3 0.3452 0.6548 0.1186 1
H4 0.3452 0.6548 0.3814 1
H5 0.4696 0.5304 0.7500 1
H6 0.5304 0.4696 0.2500 1
H7 0.6548 0.3452 0.6186 1
H8 0.6548 0.3452 0.8814 1
Pt1 0.2409 0.7591 0.2500 1
Pt2 0.7591 0.2409 0.7500 1
Rh1 0.4010 0.5990 0.5721 1
Rh2 0.4010 0.5990 0.9279 1
Rh3 0.5990 0.4010 0.0721 1
Rh4 0.5990 0.4010 0.4279 1


# 8
# Na3Ce2InS6 (PBE, relaxed)
# Space-group type: C2/m
# ΔE_f (raw), meV per atom: -1419
data_Na3Ce2InS6
_symmetry_space_group_name_H-M 'P 1'
_symmetry_Int_Tables_number 1
_cell_length_a 7.0525
_cell_length_b 7.0525
_cell_length_c 7.0538
_cell_angle_alpha 99.55
_cell_angle_beta 99.55
_cell_angle_gamma 119.95
loop_
_symmetry_equiv_pos_as_xyz
'x,y,z'
loop_
_atom_site_label
_atom_site_fract_x
_atom_site_fract_y
_atom_site_fract_z
_atom_site_occupancy
Na1 0.0000 0.0000 0.0000 1
Na2 0.3373 0.6627 0.0000 1
Na3 0.6627 0.3373 0.0000 1
Ce1 0.1672 0.8328 0.5000 1
Ce2 0.8328 0.1672 0.5000 1
In1 0.5000 0.5000 0.5000 1
S1 0.0958 0.4231 0.2698 1
S2 0.2482 0.2482 0.7278 1
S3 0.4231 0.0958 0.2698 1
S4 0.5769 0.9042 0.7302 1
S5 0.7518 0.7518 0.2722 1
S6 0.9042 0.5769 0.7302 1


# 9
# Sr2TmAl3Ga12 (PBE, relaxed)
# Space-group type: R-3m
# ΔE_f, eV per atom: -0.095
data_Sr2TmAl3Ga12
_symmetry_space_group_name_H-M 'P 1'
_symmetry_Int_Tables_number 1
_cell_length_a 10.8985
_cell_length_b 10.8985
_cell_length_c 10.8985
_cell_angle_alpha 36.31
_cell_angle_beta 36.31
_cell_angle_gamma 36.31
loop_
_symmetry_equiv_pos_as_xyz
'x,y,z'
loop_
_atom_site_label
_atom_site_fract_x
_atom_site_fract_y
_atom_site_fract_z
_atom_site_occupancy
Sr1 0.1389 0.1389 0.1389 1
Sr2 0.8611 0.8611 0.8611 1
Tm1 0.5000 0.5000 0.5000 1
Al1 0.0000 0.5000 0.5000 1
Al2 0.5000 0.0000 0.5000 1
Al3 0.5000 0.5000 0.0000 1
Ga1 0.0574 0.6216 0.6216 1
Ga2 0.0892 0.0892 0.6861 1
Ga3 0.0892 0.6861 0.0892 1
Ga4 0.3139 0.9108 0.9108 1
Ga5 0.3784 0.3784 0.9426 1
Ga6 0.3784 0.9426 0.3784 1
Ga7 0.6216 0.0574 0.6216 1
Ga8 0.6216 0.6216 0.0574 1
Ga9 0.6861 0.0892 0.0892 1
Ga10 0.9108 0.3139 0.9108 1
Ga11 0.9108 0.9108 0.3139 1
Ga12 0.9426 0.3784 0.3784 1


# 10
# TaTl2Cu (PBE, relaxed)
# Space-group type: I4/mmm
# Relative energy among the computed polymorphs, meV/atom: 316.6
# ΔE_f, eV per atom: 0.745
data_TaTl2Cu
_symmetry_space_group_name_H-M 'P 1'
_symmetry_Int_Tables_number 1
_cell_length_a 5.4553
_cell_length_b 5.4553
_cell_length_c 5.4553
_cell_angle_alpha 134.93
_cell_angle_beta 134.93
_cell_angle_gamma 65.64
loop_
_symmetry_equiv_pos_as_xyz
'x,y,z'
loop_
_atom_site_label
_atom_site_fract_x
_atom_site_fract_y
_atom_site_fract_z
_atom_site_occupancy
Ta1 0.0000 0.0000 0.0000 1
Tl1 0.2500 0.7500 0.5000 1
Tl2 0.7500 0.2500 0.5000 1
Cu1 0.5000 0.5000 0.0000 1


# 11
# FeTcAs2 (PBE, relaxed)
# Space-group type: Pmmm
# Relative energy among the computed polymorphs, meV/atom: 366.4
# ΔE_f, eV per atom: 0.336
data_FeTcAs2
_symmetry_space_group_name_H-M 'P 1'
_symmetry_Int_Tables_number 1
_cell_length_a 3.1299
_cell_length_b 3.9069
_cell_length_c 4.9580
_cell_angle_alpha 90.00
_cell_angle_beta 90.00
_cell_angle_gamma 90.00
loop_
_symmetry_equiv_pos_as_xyz
'x,y,z'
loop_
_atom_site_label
_atom_site_fract_x
_atom_site_fract_y
_atom_site_fract_z
_atom_site_occupancy
Fe1 0.0000 0.0000 0.0000 1
Tc1 0.5000 0.0000 0.5000 1
As1 0.0000 0.5000 0.5000 1
As2 0.5000 0.5000 0.0000 1


# 12
# CaYOs4 (PBE, relaxed)
# Space-group type: F-43m
# ΔE_f, eV per atom: -0.058
data_CaYOs4
_symmetry_space_group_name_H-M 'P 1'
_symmetry_Int_Tables_number 1
_cell_length_a 5.3574
_cell_length_b 5.3574
_cell_length_c 5.3574
_cell_angle_alpha 60.00
_cell_angle_beta 60.00
_cell_angle_gamma 60.00
loop_
_symmetry_equiv_pos_as_xyz
'x,y,z'
loop_
_atom_site_label
_atom_site_fract_x
_atom_site_fract_y
_atom_site_fract_z
_atom_site_occupancy
Ca1 0.0000 0.0000 0.0000 1
Y1 0.2500 0.2500 0.2500 1
Os1 0.1250 0.6250 0.6250 1
Os2 0.6250 0.1250 0.6250 1
Os3 0.6250 0.6250 0.1250 1
Os4 0.6250 0.6250 0.6250 1


# 13
# Ba4LiTl5 (PBE, relaxed)
# Space-group type: P4/mmm
# ΔE_f, eV per atom: -0.337
data_Ba4LiTl5
_symmetry_space_group_name_H-M 'P 1'
_symmetry_Int_Tables_number 1
_cell_length_a 4.1323
_cell_length_b 4.1323
_cell_length_c 21.2355
_cell_angle_alpha 90.00
_cell_angle_beta 90.00
_cell_angle_gamma 90.00
loop_
_symmetry_equiv_pos_as_xyz
'x,y,z'
loop_
_atom_site_label
_atom_site_fract_x
_atom_site_fract_y
_atom_site_fract_z
_atom_site_occupancy
Ba1 0.0000 0.0000 0.1051 1
Ba2 0.0000 0.0000 0.3155 1
Ba3 0.0000 0.0000 0.6845 1
Ba4 0.0000 0.0000 0.8949 1
Li1 0.0000 0.0000 0.5000 1
Tl1 0.5000 0.5000 0.0000 1
Tl2 0.5000 0.5000 0.2084 1
Tl3 0.5000 0.5000 0.4258 1
Tl4 0.5000 0.5000 0.5742 1
Tl5 0.5000 0.5000 0.7916 1


# 14
# NdHoEr4Tm2 (PBE, relaxed)
# Space-group type: Pmmm
# ΔE_f, eV per atom: 0.021
data_NdHoEr4Tm2
_symmetry_space_group_name_H-M 'P 1'
_symmetry_Int_Tables_number 1
_cell_length_a 7.0522
_cell_length_b 7.0611
_cell_length_c 9.9342
_cell_angle_alpha 90.00
_cell_angle_beta 90.00
_cell_angle_gamma 90.00
loop_
_symmetry_equiv_pos_as_xyz
'x,y,z'
loop_
_atom_site_label
_atom_site_fract_x
_atom_site_fract_y
_atom_site_fract_z
_atom_site_occupancy
Nd1 0.0000 0.0000 0.0000 1
Nd2 0.5000 0.0000 0.5000 1
Ho1 0.0000 0.0000 0.5000 1
Ho2 0.0000 0.5000 0.5000 1
Er1 0.2504 0.2521 0.2492 1
Er2 0.2504 0.2521 0.7508 1
Er3 0.2504 0.7479 0.2492 1
Er4 0.2504 0.7479 0.7508 1
Er5 0.7496 0.2521 0.2492 1
Er6 0.7496 0.2521 0.7508 1
Er7 0.7496 0.7479 0.2492 1
Er8 0.7496 0.7479 0.7508 1
Tm1 0.0000 0.5000 0.0000 1
Tm2 0.5000 0.0000 0.0000 1
Tm3 0.5000 0.5000 0.0000 1
Tm4 0.5000 0.5000 0.5000 1


# 15
# FeCoNi2 (PBE, relaxed)
# Space-group type: I-4m2
# ΔE_f, eV per atom: -0.031
data_FeCoNi2
_symmetry_space_group_name_H-M 'P 1'
_symmetry_Int_Tables_number 1
_cell_length_a 4.3026
_cell_length_b 4.3026
_cell_length_c 4.3026
_cell_angle_alpha 130.97
_cell_angle_beta 130.97
_cell_angle_gamma 71.86
loop_
_symmetry_equiv_pos_as_xyz
'x,y,z'
loop_
_atom_site_label
_atom_site_fract_x
_atom_site_fract_y
_atom_site_fract_z
_atom_site_occupancy
Fe1 0.0000 0.0000 0.0000 1
Co1 0.2500 0.7500 0.5000 1
Ni1 0.5000 0.5000 0.0000 1
Ni2 0.7500 0.2500 0.5000 1


# 16
# PaTi2AgO8 (PBE, relaxed)
# Space-group type: P-3m1
# ΔE_f (raw), meV per atom: -2297
data_PaTi2AgO8
_symmetry_space_group_name_H-M 'P 1'
_symmetry_Int_Tables_number 1
_cell_length_a 6.0052
_cell_length_b 6.0052
_cell_length_c 6.1818
_cell_angle_alpha 90.00
_cell_angle_beta 90.00
_cell_angle_gamma 120.00
loop_
_symmetry_equiv_pos_as_xyz
'x,y,z'
loop_
_atom_site_label
_atom_site_fract_x
_atom_site_fract_y
_atom_site_fract_z
_atom_site_occupancy
Pa1 0.0000 0.0000 0.0000 1
Ti1 0.3333 0.6667 0.6782 1
Ti2 0.6667 0.3333 0.3218 1
Ag1 0.0000 0.0000 0.5000 1
O1 0.1584 0.3168 0.7686 1
O2 0.1584 0.8416 0.7686 1
O3 0.3168 0.1584 0.2314 1
O4 0.3333 0.6667 0.4049 1
O5 0.6667 0.3333 0.5951 1
O6 0.6832 0.8416 0.7686 1
O7 0.8416 0.1584 0.2314 1
O8 0.8416 0.6832 0.2314 1


Computed values of N(E_F) (unit: states/eV/cell) for the preceding records, in sequence: 4.12, 3.76, 3.99, 3.33, 3.16, 6.98, 6.74, 13.16, 7.09, 4.20, 4.37, 7.73, 6.22, 20.53, 4.31, 4.06.
Computed values of total DFT energy (no corrections) (unit: eV per atom) for the preceding records, in sequence: -6.3839, -3.6138, -6.1266, -4.7058, -3.8958, -8.7141, -4.6303, -5.0301, -3.1717, -4.4249, -6.6964, -8.9550, -2.4808, -4.5465, -6.8142, -7.9474.